First-principles (PBE-GGA) data for a relaxed Na2UMn2Se6 crystal, as listed in the Alexandria database.

Summary:
The value obtained for the magnetic moment is 10.000 Bohr magnetons per cell. Its space-group type is C2/m, No. 12. The value obtained for the raw formation energy is -0.878 eV/atom. For the theoretical density, the calculation gives 5.2 Mg/m³.

```
Na2UMn2Se6
1.0
3.3828 -5.6858 0.0000
3.3828 5.6858 0.0000
-2.3199 0.0000 7.1802
Na U Mn Se
2 1 2 6
Direct
0.1623 0.8377 0.0000
0.8377 0.1623 0.0000
0.0000 0.0000 0.5000
0.3309 0.6691 0.5000
0.6691 0.3309 0.5000
0.0607 0.4100 0.7166
0.2827 0.2827 0.2946
0.4100 0.0607 0.7166
0.5900 0.9393 0.2834
0.7173 0.7173 0.7054
0.9393 0.5900 0.2834
```